IrW3O | the Alexandria database | PBE+U | relaxed; symmetry = Pm-3m; total magnetic moment = 2.33 Bohr magnetons per cell; E = -21.53 eV/cell
1.0
4.891 0.000 0.000
0.000 4.891 0.000
0.000 0.000 4.891
Ir O W
1 1 3
Direct
0.000 0.000 0.000 Ir
0.500 0.500 0.500 O
0.000 0.500 0.000 W
0.000 0.000 0.500 W
0.500 0.000 0.000 W